[1]
First-principles (PBE+U) data for VOsO4 after structural relaxation, as listed in Alexandria.

Summary:
E_tot = -92.99 eV/cell

abc: 6.3991 6.3991 4.5325
angles: 108.78 108.78 118.38
Atoms (fractional coordinates):
V: 0.1808 0.8192 0.7500
V: 0.8192 0.1808 0.2500
Os: 0.4388 0.5612 0.2500
Os: 0.5612 0.4388 0.7500
O: 0.1334 0.5157 0.3114
O: 0.1815 0.3032 0.6886
O: 0.3032 0.1815 0.1886
O: 0.4843 0.8666 0.1886
O: 0.5157 0.1334 0.8114
O: 0.6968 0.8185 0.8114
O: 0.8185 0.6968 0.3114
O: 0.8666 0.4843 0.6886

=====

[2]
First-principles (PBE+U) data for V3OsO after structural relaxation, as listed in Alexandria.

Summary:
E_tot = -29.70 eV/cell

abc: 4.7904 4.7904 4.7904
angles: 90.00 90.00 90.00
Atoms (fractional coordinates):
V: 0.0000 0.0000 0.5000
V: 0.0000 0.5000 0.0000
V: 0.5000 0.0000 0.0000
Os: 0.0000 0.0000 0.0000
O: 0.5000 0.5000 0.5000

=====

[3]
First-principles (PBE+U) data for VOs2O after structural relaxation, as listed in Alexandria.

Summary:
E_tot = -61.54 eV/cell

abc: 6.1121 6.1121 6.1121
angles: 130.76 130.76 72.19
Atoms (fractional coordinates):
V: 0.0000 0.0000 0.0000
V: 0.7500 0.2500 0.5000
Os: 0.1956 0.6250 0.0706
Os: 0.3750 0.4456 0.5706
Os: 0.5544 0.1250 0.9294
Os: 0.8750 0.8044 0.4294
O: 0.2500 0.7500 0.5000
O: 0.5000 0.5000 0.0000

=====

Number 1: DOS at the Fermi energy 3.64 states/eV per cell, total magnetization 1.728 μB/f.u.. Number 2: DOS at the Fermi energy 3.80 states/eV per cell, total magnetization 7.159 μB/f.u.. Number 3: DOS at the Fermi energy 7.67 states/eV per cell, total magnetization 0.000 μB/f.u..